No. 1
DFT (GGA-PBE) results for crystalline AcLuNi at its relaxed geometry.

Geometry as POSCAR:
```
AcLuNi
1.0
-1.7733 1.7733 6.3487
1.7733 -1.7733 6.3487
1.7733 1.7733 -6.3487
Ac Lu Ni
1 1 1
Direct
0.0000 0.0000 0.0000
0.2638 0.2638 0.0000
0.6610 0.6610 0.0000
```

Computed properties:
Its formation energy is -145 meV per atom.

No. 2
DFT (GGA-PBE) results for crystalline AcLu3Ni at its relaxed geometry.

Geometry as POSCAR:
```
AcLu3Ni
1.0
5.2898 0.0000 0.0000
0.0000 5.2898 0.0000
0.0000 0.0000 5.2898
Ac Lu Ni
1 3 1
Direct
0.0000 0.0000 0.0000
0.0000 0.5000 0.5000
0.5000 0.0000 0.5000
0.5000 0.5000 0.0000
0.5000 0.5000 0.5000
```

Computed properties:
Its formation energy is -146 meV per atom.

No. 3
DFT (GGA-PBE) results for crystalline AcLuNi2 at its relaxed geometry.

Geometry as POSCAR:
```
AcLuNi2
1.0
2.2669 1.3088 5.1133
-2.2669 1.3088 5.1133
0.0000 -2.6176 5.1133
Ac Lu Ni
1 1 2
Direct
0.0000 0.0000 0.0000
0.5000 0.5000 0.5000
0.2109 0.2109 0.2109
0.7891 0.7891 0.7891
```

Computed properties:
Its formation energy is -286 meV per atom. The calculation puts the polymorph energy (0 for the lowest one) at 0.0000 eV per atom.

No. 4
DFT (GGA-PBE) results for crystalline AcLuNiPd at its relaxed geometry.

Geometry as POSCAR:
```
AcLuNiPd
1.0
0.0000 3.5856 3.5856
3.5856 0.0000 3.5856
3.5856 3.5856 0.0000
Ac Lu Ni Pd
1 1 1 1
Direct
0.0000 0.0000 0.0000
0.5000 0.5000 0.5000
0.7500 0.7500 0.7500
0.2500 0.2500 0.2500
```

Computed properties:
Its formation energy is -458 meV per atom.

No. 5
DFT (GGA-PBE) results for crystalline AcLuNiPt at its relaxed geometry.

Geometry as POSCAR:
```
AcLuNiPt
1.0
0.0000 3.5763 3.5763
3.5763 0.0000 3.5763
3.5763 3.5763 0.0000
Ac Lu Ni Pt
1 1 1 1
Direct
0.0000 0.0000 0.0000
0.5000 0.5000 0.5000
0.7500 0.7500 0.7500
0.2500 0.2500 0.2500
```

Computed properties:
Its formation energy is -619 meV per atom.

No. 6
DFT (GGA-PBE) results for crystalline AcLuNiRh at its relaxed geometry.

Geometry as POSCAR:
```
AcLuNiRh
1.0
0.0000 3.5334 3.5334
3.5334 0.0000 3.5334
3.5334 3.5334 0.0000
Ac Lu Ni Rh
1 1 1 1
Direct
0.0000 0.0000 0.0000
0.5000 0.5000 0.5000
0.7500 0.7500 0.7500
0.2500 0.2500 0.2500
```

Computed properties:
Its formation energy is -432 meV per atom.

No. 7
DFT (GGA-PBE) results for crystalline AcLuNiRu at its relaxed geometry.

Geometry as POSCAR:
```
AcLuNiRu
1.0
0.0000 3.5066 3.5066
3.5066 0.0000 3.5066
3.5066 3.5066 0.0000
Ac Lu Ni Ru
1 1 1 1
Direct
0.0000 0.0000 0.0000
0.5000 0.5000 0.5000
0.2500 0.2500 0.2500
0.7500 0.7500 0.7500
```

Computed properties:
Its formation energy is -177 meV per atom.

No. 8
DFT (GGA-PBE) results for crystalline AcLu2Np at its relaxed geometry.

Geometry as POSCAR:
```
AcLu2Np
1.0
1.7762 1.0255 11.4780
-1.7762 1.0255 11.4780
0.0000 -2.0509 11.4780
Ac Lu Np
1 2 1
Direct
0.0000 0.0000 0.0000
0.2452 0.2452 0.2452
0.7548 0.7548 0.7548
0.5000 0.5000 0.5000
```

Computed properties:
Its formation energy is 363 meV per atom.

No. 9
DFT (GGA-PBE) results for crystalline AcLuO2 at its relaxed geometry.

Geometry as POSCAR:
```
AcLuO2
1.0
1.8035 1.0413 6.8757
-1.8035 1.0413 6.8757
0.0000 -2.0825 6.8757
Ac Lu O
1 1 2
Direct
0.0000 0.0000 0.0000
0.5000 0.5000 0.5000
0.1180 0.1180 0.1180
0.8820 0.8820 0.8820
```

Computed properties:
For the uncorrected formation energy, the calculation gives -1062 kJ/mol of formula units.

No. 10
DFT (GGA-PBE) results for crystalline AcLu3O at its relaxed geometry.

Geometry as POSCAR:
```
AcLu3O
1.0
4.9728 0.0000 0.0000
0.0000 4.9728 0.0000
0.0000 0.0000 4.9728
Ac Lu O
1 3 1
Direct
0.0000 0.0000 0.0000
0.0000 0.5000 0.5000
0.5000 0.0000 0.5000
0.5000 0.5000 0.0000
0.5000 0.5000 0.5000
```

Computed properties:
For the uncorrected formation energy, the calculation gives -446 kJ/mol of formula units.

No. 11
DFT (GGA-PBE) results for crystalline AcLuO at its relaxed geometry.

Geometry as POSCAR:
```
AcLuO
1.0
3.6481 0.0000 0.0000
-1.8240 3.1593 0.0000
0.0000 0.0000 6.5610
Ac Lu O
1 1 1
Direct
0.0000 0.0000 0.0000
0.6667 0.3333 0.5261
0.3333 0.6667 0.6262
```

Computed properties:
For the uncorrected formation energy, the calculation gives -484 kJ/mol of formula units.

No. 12
DFT (GGA-PBE) results for crystalline Ac3LuO at its relaxed geometry.

Geometry as POSCAR:
```
Ac3LuO
1.0
5.3869 0.0000 0.0000
0.0000 5.3869 0.0000
0.0000 0.0000 5.3869
Ac Lu O
3 1 1
Direct
0.0000 0.0000 0.5000
0.0000 0.5000 0.0000
0.5000 0.0000 0.0000
0.5000 0.5000 0.5000
0.0000 0.0000 0.0000
```

Computed properties:
For the uncorrected formation energy, the calculation gives -508 kJ/mol of formula units.

Summary of final energy in eV per atom
-4.948, -4.837, -5.334, -5.359, -5.732, -5.872, -6.099, -6.160, -7.388, -5.450, -6.200, -5.414
(order as listed above)